{
  "formula": "Na2SnI5",
  "functional": "PBE",
  "state": "relaxed",
  "lattice_angstrom": [[-2.421, -5.621, 1.416], [4.616, -0.265, -7.093], [11.938, -3.155, 7.888]],
  "species": ["Na", "Na", "Na", "Na", "Sn", "Sn", "I", "I", "I", "I", "I", "I", "I", "I", "I", "I"],
  "frac_coords": [[0.825, 0.651, 0.433], [0.825, 0.651, 0.067], [0.175, 0.349, 0.567], [0.175, 0.349, 0.933], [0.818, 0.636, 0.750], [0.182, 0.364, 0.250], [0.948, 0.895, 0.896], [0.948, 0.895, 0.604], [0.320, 0.641, 0.402], [0.320, 0.641, 0.098], [0.707, 0.414, 0.250], [0.293, 0.586, 0.750], [0.680, 0.359, 0.598], [0.680, 0.359, 0.902], [0.052, 0.105, 0.104], [0.052, 0.105, 0.396]],
  "e_above_lowest_polymorph_mev_per_atom": 0,
  "dft_energy_ev_per_atom": -2.57,
  "formation_energy_uncorrected_mev_per_atom": -773,
  "rho_g_cm3": 3.7
}